# 1
Here is a relaxed TeRh2 crystal from Alexandria via LeMat-Bulk. Energies are from GGA-PBE.

a = 3.9193 Å, b = 3.9193 Å, c = 3.7155 Å
α = 90.00°, β = 90.00°, γ = 90.00°
Last column: nearest neighbours and their distance in Å.
Space group P4/mmm (No. 123)
Inequivalent atoms, fractional coordinates:
Te 0.0000 0.0000 0.0000 x1  8 Rh 2.70
Rh 0.0000 0.5000 0.5000 x2  4 Te 2.70, 4 Rh 2.77

Results
For the energy relative to the lowest polymorph listed for this composition, the calculation gives 229 meV per atom. For the total magnetic moment, the calculation gives 0.000 μB/f.u. Its volume is 57 Å³ per cell. The calculation puts the total energy at -5.89 eV per atom. For the density of states at the Fermi level, the calculation gives 3.0 states/eV per cell. The uncorrected formation energy is 0.060 eV per atom.

# 2
Here is a relaxed LuVRu crystal from Alexandria via LeMat-Bulk. Energies are from GGA-PBE.

a = 2.8629 Å, b = 2.8629 Å, c = 14.0972 Å
α = 90.00°, β = 90.00°, γ = 90.00°
Last column: nearest neighbours and their distance in Å.
Space group I4mm (No. 107)
Inequivalent atoms, fractional coordinates:
Lu 0.0000 0.0000 0.0000 x2  1 Ru 2.69, 4 Lu 2.86, 4 V 3.01
V 0.0000 0.0000 0.6575 x2  1 Ru 2.14
Ru 0.0000 0.0000 0.8091 x2  1 V 2.14

Results
For the total magnetic moment, the calculation gives 0.008 μB/f.u. The formation energy from the elements comes out at 758 meV/atom. Its volume is 116 Å³ per cell. The calculation puts the total energy at -6.88 eV per atom. For the density of states at the Fermi level, the calculation gives 9.4 states/eV per cell.

# 3
Here is a relaxed LaFeMo crystal from Alexandria via LeMat-Bulk. Energies are from GGA-PBE.

a = 3.9817 Å, b = 3.9817 Å, c = 4.7498 Å
α = 90.00°, β = 90.00°, γ = 120.00°
Last column: nearest neighbours and their distance in Å.
Space group P3m1 (No. 156)
Inequivalent atoms, fractional coordinates:
La 0.0000 0.0000 0.0000 x1  6 Fe 3.18-3.43, 6 Mo 3.25-3.36
Fe 0.3333 0.6667 0.5362 x1  3 Mo 2.31
Mo 0.6667 0.3333 0.4829 x1  3 Fe 2.31

Results
For the energy relative to the lowest polymorph listed for this composition, the calculation gives 0 meV per atom. For the total magnetic moment, the calculation gives 0.000 μB/f.u. The formation energy from the elements comes out at 303 meV/atom. Its volume is 65 Å³ per cell. The calculation puts the total energy at -7.77 eV per atom. For the density of states at the Fermi level, the calculation gives 3.7 states/eV per cell.

# 4
Here is a relaxed Ti2NbHg crystal from Alexandria via LeMat-Bulk. Energies are from GGA-PBE.

a = 4.0316 Å, b = 4.0316 Å, c = 19.2422 Å
α = 90.00°, β = 90.00°, γ = 90.00°
Last column: nearest neighbours and their distance in Å.
Space group I-42d (No. 122)
Inequivalent atoms, fractional coordinates:
Ti 0.2368 0.2500 0.1250 x8  4 Ti 2.78-2.93, 2 Nb 2.78, 2 Hg 2.82
Nb 0.0000 0.0000 0.0000 x4  4 Ti 2.78, 4 Hg 2.85
Hg 0.0000 0.0000 0.5000 x4  4 Ti 2.82, 4 Nb 2.85

Results
For the total magnetic moment, the calculation gives 0.000 μB/f.u. The formation energy from the elements comes out at 487 meV/atom. Its volume is 313 Å³ per cell. The calculation puts the total energy at -6.05 eV per atom. For the density of states at the Fermi level, the calculation gives 28.4 states/eV per cell.

# 5
Here is a relaxed ZnAs2Se crystal from Alexandria via LeMat-Bulk. Energies are from GGA-PBE.

a = 3.6450 Å, b = 5.4131 Å, c = 8.5272 Å
α = 90.00°, β = 90.00°, γ = 90.00°
Last column: nearest neighbours and their distance in Å.
Space group Cmm2 (No. 35)
Inequivalent atoms, fractional coordinates:
Zn 0.0000 0.0000 0.0000 x2  2 Se 2.46
As 0.0000 0.0000 0.4666 x2  2 As 2.58
As 0.0000 0.5000 0.2522 x2  2 As 2.58, 2 Zn 2.82
Se 0.0000 0.5000 0.8071 x2  2 Zn 2.46

Results
For the energy relative to the lowest polymorph listed for this composition, the calculation gives 432 meV per atom. For the total magnetic moment, the calculation gives 0.000 μB/f.u. Its volume is 168 Å³ per cell. The calculation puts the total energy at -3.25 eV per atom. For the density of states at the Fermi level, the calculation gives 4.0 states/eV per cell. The uncorrected formation energy is 0.267 eV per atom.

# 6
Here is a relaxed Ti2BeCuH crystal from Alexandria via LeMat-Bulk. Energies are from GGA-PBE.

a = 4.0561 Å, b = 4.0561 Å, c = 3.4130 Å
α = 90.00°, β = 90.00°, γ = 90.00°
Last column: nearest neighbours and their distance in Å.
Space group P4/mmm (No. 123)
Inequivalent atoms, fractional coordinates:
Ti 0.0000 0.5000 0.0000 x2  2 H 2.03
Be 0.0000 0.0000 0.5000 x1  2 H 1.71
Cu 0.5000 0.5000 0.5000 x1  8 Ti 2.65, 4 Be 2.87
H 0.0000 0.0000 0.0000 x1  2 Be 1.71

Results
For the energy relative to the lowest polymorph listed for this composition, the calculation gives 11 meV per atom. For the total magnetic moment, the calculation gives 0.000 μB/f.u. Its volume is 56 Å³ per cell. The calculation puts the total energy at -5.50 eV per atom. For the density of states at the Fermi level, the calculation gives 5.3 states/eV per cell.

# 7
Here is a relaxed ScVRh crystal from Alexandria via LeMat-Bulk. Energies are from GGA-PBE.

a = 2.7743 Å, b = 2.7743 Å, c = 13.7562 Å
α = 90.00°, β = 90.00°, γ = 90.00°
Last column: nearest neighbours and their distance in Å.
Space group I4mm (No. 107)
Inequivalent atoms, fractional coordinates:
Sc 0.0000 0.0000 0.0000 x2  1 Rh 2.55, 4 Sc 2.77
V 0.0000 0.0000 0.6529 x2  1 Rh 2.23
Rh 0.0000 0.0000 0.8150 x2  1 V 2.23

Results
For the energy relative to the lowest polymorph listed for this composition, the calculation gives 719 meV per atom. For the total magnetic moment, the calculation gives 0.000 μB/f.u. The formation energy from the elements comes out at 341 meV/atom. Its volume is 106 Å³ per cell. The calculation puts the total energy at -7.26 eV per atom. For the density of states at the Fermi level, the calculation gives 7.5 states/eV per cell.

# 8
Here is a relaxed Rb2InNi crystal from Alexandria via LeMat-Bulk. Energies are from GGA-PBE.

a = 12.7493 Å, b = 12.7493 Å, c = 4.9572 Å
α = 90.00°, β = 90.00°, γ = 90.00°
Last column: nearest neighbours and their distance in Å.
Space group I-42d (No. 122)
Inequivalent atoms, fractional coordinates:
Rb 0.0650 0.7500 0.1250 x8  2 Ni 3.35
In 0.0000 0.0000 0.5000 x4  2 Ni 2.48
Ni 0.0000 0.0000 0.0000 x4  2 In 2.48

Results
For the total magnetic moment, the calculation gives 0.000 μB/f.u. The formation energy from the elements comes out at 265 meV/atom. Its volume is 806 Å³ per cell. The calculation puts the total energy at -2.35 eV per atom. For the density of states at the Fermi level, the calculation gives 13.3 states/eV per cell.

# 9
Here is a relaxed BaHIr3 crystal from Alexandria via LeMat-Bulk. Energies are from GGA-PBE.

a = 5.2958 Å, b = 5.2958 Å, c = 5.2958 Å
α = 90.00°, β = 90.00°, γ = 90.00°
Last column: nearest neighbours and their distance in Å.
Space group Pm-3m (No. 221)
Inequivalent atoms, fractional coordinates:
Ba 0.0000 0.0000 0.0000 x1  6 Ir 2.65
H 0.5000 0.5000 0.5000 x1  12 Ir 3.74
Ir 0.0000 0.0000 0.5000 x3  2 Ba 2.65

Results
For the energy relative to the lowest polymorph listed for this composition, the calculation gives 2673 meV per atom. For the total magnetic moment, the calculation gives 3.851 μB/f.u. Its volume is 149 Å³ per cell. The calculation puts the total energy at -3.04 eV per atom. For the density of states at the Fermi level, the calculation gives 10.6 states/eV per cell.

# 10
Here is a relaxed Pm4PrNd2Dy2 crystal from Alexandria via LeMat-Bulk. Energies are from GGA-PBE.

a = 15.4527 Å, b = 5.1518 Å, c = 8.1274 Å
α = 90.00°, β = 108.57°, γ = 90.00°
Last column: nearest neighbours and their distance in Å.
Space group C2/m (No. 12)
Inequivalent atoms, fractional coordinates:
Pm 0.0557 0.0000 0.3322 x4  2 Pr 3.63, 4 Pm 3.64-3.66, 2 Dy 3.64-3.65, 4 Nd 3.65
Pm 0.2221 0.5000 0.3311 x4  3 Dy 3.61-3.63, 1 Pr 3.62, 3 Nd 3.63-3.65, 5 Pm 3.64-3.66
Pr 0.0000 0.5000 0.0000 x2  6 Pm 3.62-3.63, 2 Nd 3.64, 4 Dy 3.66
Nd 0.1117 0.5000 0.6672 x4  3 Dy 3.61-3.63, 7 Pm 3.63-3.65, 1 Pr 3.64, 1 Nd 3.65
Dy 0.1678 0.0000 0.9996 x4  5 Pm 3.61-3.65, 3 Nd 3.61-3.63, 2 Dy 3.62, 2 Pr 3.66

Results
For the total magnetic moment, the calculation gives 0.000 μB/f.u. The formation energy from the elements comes out at 16 meV/atom. Its volume is 613 Å³ per cell. The calculation puts the total energy at -4.71 eV per atom. For the density of states at the Fermi level, the calculation gives 27.9 states/eV per cell.

# 11
Here is a relaxed PmSmMgBi crystal from Alexandria via LeMat-Bulk. Energies are from GGA-PBE.

a = 7.7892 Å, b = 7.7892 Å, c = 7.7892 Å
α = 90.00°, β = 90.00°, γ = 90.00°
Last column: nearest neighbours and their distance in Å.
Space group F-43m (No. 216)
Inequivalent atoms, fractional coordinates:
Pm 0.0000 0.0000 0.0000 x4  4 Mg 3.37, 4 Bi 3.37
Sm 0.0000 0.0000 0.5000 x4  4 Bi 3.37, 4 Mg 3.37
Mg 0.2500 0.2500 0.2500 x4  4 Pm 3.37, 4 Sm 3.37
Bi 0.2500 0.2500 0.7500 x4  4 Pm 3.37, 4 Sm 3.37

Results
For the total magnetic moment, the calculation gives 0.000 μB/f.u. The formation energy from the elements comes out at -355 meV/atom. Its volume is 473 Å³ per cell. The calculation puts the total energy at -4.09 eV per atom. For the density of states at the Fermi level, the calculation gives 16.6 states/eV per cell.

# 12
Here is a relaxed MnSiNiAu crystal from Alexandria via LeMat-Bulk. Energies are from GGA-PBE.

a = 3.2785 Å, b = 4.2935 Å, c = 7.9201 Å
α = 90.00°, β = 90.00°, γ = 90.00°
Last column: nearest neighbours and their distance in Å.
Space group Imm2 (No. 44)
Inequivalent atoms, fractional coordinates:
Mn 0.0000 0.0000 0.0000 x2  2 Si 2.52, 4 Ni 2.75, 4 Au 2.75-2.78
Si 0.0000 0.5000 0.2591 x2  2 Ni 2.26, 2 Mn 2.52
Ni 0.0000 0.0000 0.5622 x2  2 Si 2.26
Au 0.0000 0.5000 0.7836 x2  4 Si 2.71, 4 Mn 2.75-2.78, 4 Ni 2.75-2.77

Results
For the energy relative to the lowest polymorph listed for this composition, the calculation gives 97 meV per atom. For the total magnetic moment, the calculation gives 3.528 μB/f.u. Its volume is 111 Å³ per cell. The calculation puts the total energy at -6.02 eV per atom. For the density of states at the Fermi level, the calculation gives 3.5 states/eV per cell. The uncorrected formation energy is -0.107 eV per atom.